The following is a GGA+U calculation of La2CoAs2PdO2 after structural relaxation, from OQMD via LeMat-Bulk.

a = 4.166 Å, b = 4.166 Å, c = 8.422 Å
α = 90.00°, β = 90.00°, γ = 90.00°
Space group P-4m2 (No. 115)
Unique sites:
La  0.000  0.500  0.140 x2
Co  0.000  0.000  0.500 x1
As  0.000  0.500  0.656 x2
Pd  0.500  0.500  0.500 x1
O  0.000  0.000  0.000 x1
O  0.500  0.500  0.000 x1

Output
Raw total energy   -6.7259 eV/atom
Volume   146 Å³/cell